# 1
First-principles (PBE-GGA) data for a geometry-optimized Pm12Ho5Th2 structure, as listed in the Alexandria database.

Properties
- Formation enthalpy at 0 K: 0.154 eV/atom
- Calculated density: 7.8 g/cm3
- Total moment: 0.00 μB/f.u.

Cell lengths 16.2678, 9.5877, 8.2385 Å; angles 90.00, 90.40, 90.00 degrees
Last column: nearest neighbours and their distance in Å.
Space group C2/m (No. 12)
Unique sites:
Pm  0.0483  0.0000  0.2170 [4 per cell]  3 Ho 3.26-3.65, 6 Pm 3.41-3.64, 2 Th 3.65
Pm  0.1074  0.2236  0.8810 [8 per cell]  4 Ho 3.33-3.60, 5 Pm 3.41-3.65, 1 Th 3.62
Pm  0.1614  0.5000  0.6254 [4 per cell]  2 Ho 3.20-3.55, 4 Pm 3.50-3.53, 2 Th 3.51
Pm  0.1847  0.2829  0.2833 [8 per cell]  4 Ho 3.47-3.69, 1 Th 3.51, 5 Pm 3.53-3.76
Ho  0.0000  0.5000  0.0000 [2 per cell]  4 Pm 3.33
Ho  0.1437  0.0000  0.5669 [4 per cell]  7 Pm 3.26-3.64, 2 Th 3.61
Ho  0.2499  0.0000  0.0270 [4 per cell]  5 Pm 3.20-3.47
Th  0.0000  0.2811  0.5000 [4 per cell]  8 Pm 3.51-3.65, 2 Ho 3.61

# 2
First-principles (PBE-GGA) data for a geometry-optimized PmHo6Th3 structure, as listed in the Alexandria database.

Properties
- Formation enthalpy at 0 K: 0.360 eV/atom
- Calculated density: 9.1 g/cm3
- Total moment: 0.00 μB/f.u.

Cell lengths 9.8555, 9.8555, 11.9206 Å; angles 90.00, 90.00, 120.00 degrees
Last column: nearest neighbours and their distance in Å.
Space group R-3 (No. 148, hexagonal axes)
Unique sites:
Pm  0.0000  0.0000  0.0000 [3 per cell]  2 Th 2.96
Ho  0.0015  0.3316  0.2517 [18 per cell]  2 Th 3.26-3.44, 1 Pm 3.45
Th  0.0000  0.0000  0.2483 [6 per cell]  1 Pm 2.96, 1 Th 3.00, 3 Ho 3.26
Th  0.0000  0.0000  0.5000 [3 per cell]  2 Th 3.00

# 3
First-principles (PBE-GGA) data for a geometry-optimized PmHo2Th structure, as listed in the Alexandria database.

Properties
- Formation enthalpy at 0 K: 0.015 eV/atom
- Calculated density: 9.2 g/cm3
- Total moment: 0.00 μB/f.u.

Cell lengths 3.5814, 3.5814, 34.5797 Å; angles 90.00, 90.00, 120.00 degrees
Last column: nearest neighbours and their distance in Å.
Space group R-3m (No. 166, hexagonal axes)
Unique sites:
Pm  0.0000  0.0000  0.0000 [3 per cell]  6 Pm 3.58, 6 Ho 3.61
Ho  0.0000  0.0000  0.2479 [6 per cell]  3 Th 3.49, 6 Ho 3.58, 3 Pm 3.61
Th  0.0000  0.0000  0.5000 [3 per cell]  6 Ho 3.49, 6 Th 3.58

# 4
First-principles (PBE-GGA) data for a geometry-optimized Pm3Ho5Th structure, as listed in the Alexandria database.

Properties
- Formation enthalpy at 0 K: 0.061 eV/atom
- Calculated density: 8.6 g/cm3
- Total moment: 0.00 μB/f.u.

Cell lengths 9.7438, 9.7438, 7.0306 Å; angles 90.00, 90.00, 120.00 degrees
Last column: nearest neighbours and their distance in Å.
Space group P6_3/mcm (No. 193)
Unique sites:
Pm  0.0000  0.3359  0.2500 [6 per cell]  5 Ho 3.25-3.52
Ho  0.0000  0.3302  0.7500 [6 per cell]  5 Pm 3.25-3.52
Ho  0.3333  0.6667  0.0000 [4 per cell]  8 Ho 3.52-3.71, 6 Pm 3.68
Th  0.0000  0.0000  0.0000 [2 per cell]  2 Th 3.52, 6 Ho 3.67, 6 Pm 3.71

- formation enthalpy at 0 K of number 1 (Pm12Ho5Th2)?
  0.154 eV/atom